! Ca2CrF | the Alexandria database | GGA+U | relaxed; values from VASP
! Space group: I-42d (122)
! Final energy: -4.433 eV/atom
! Crystal system: tetragonal
&SYSTEM
  ibrav = 0, nat = 8, ntyp = 3
/
ATOMIC_SPECIES
Ca 40.08 Ca.upf
Cr 52.00 Cr.upf
F 19.00 F.upf
ATOMIC_POSITIONS crystal
Ca 0.024 0.625 0.899
Ca 0.375 0.274 0.399
Ca 0.726 0.125 0.101
Ca 0.875 0.976 0.601
Cr 0.250 0.750 0.500
Cr 0.500 0.500 0.000
F 0.000 0.000 0.000
F 0.750 0.250 0.500
CELL_PARAMETERS angstrom
-3.553 3.553 4.203
3.553 -3.553 4.203
3.553 3.553 -4.203